(1)
BaTl10In2 | PBE | relaxed

Computed properties:
V: 1660.2 Å³ per cell
Raw total energy: -0.1808 Ry/atom
D(E_F): 26.5 states/eV/cell
Energy of formation from the pure elements: -6.83 kJ/mol of atoms

Cell lengths 6.4281, 15.9666, 16.1759 Å; angles 90.00, 90.00, 90.00 degrees
With the nearest neighbours (Å) after each atom.
Space group Fmmm (No. 69)
Symmetry-distinct sites (fractional):
Ba  0.0000  0.0000  0.0000 [4 per cell]  16 Tl 4.01-4.35, 4 In 4.30
Tl  0.0000  0.1074  0.3961 [16 per cell]  2 In 3.25, 7 Tl 3.33-3.61
Tl  0.0000  0.1807  0.1756 [16 per cell]  6 Tl 3.27-3.61, 2 In 3.45
Tl  0.2500  0.0000  0.2500 [8 per cell]  10 Tl 3.21-3.52
In  0.2500  0.2500  0.0000 [8 per cell]  2 In 3.21, 8 Tl 3.25-3.45


(2)
TmCu2Au8 | PBE | relaxed

Computed properties:
V: 409.7 Å³ per cell
Raw total energy: -0.2739 Ry/atom
D(E_F): 5.6 states/eV/cell
Energy of formation from the pure elements: -18.51 kJ/mol of atoms

Cell lengths 7.8603, 12.2742, 4.6650 Å; angles 90.00, 114.47, 90.00 degrees
With the nearest neighbours (Å) after each atom.
Space group C2/m (No. 12)
Symmetry-distinct sites (fractional):
Tm  0.0000  0.0000  0.0000 [2 per cell]  8 Au 2.85-3.04
Cu  0.0000  0.3170  0.5000 [4 per cell]  8 Au 2.56-2.76
Au  0.0000  0.2318  0.0000 [4 per cell]  2 Cu 2.56, 1 Tm 2.85
Au  0.1055  0.5000  0.8243 [4 per cell]  2 Cu 2.64, 4 Au 2.77-2.87, 1 Tm 2.86
Au  0.1990  0.1242  0.6135 [8 per cell]  2 Cu 2.73-2.76, 5 Au 2.86-3.05, 1 Tm 3.04


(3)
MgVTePd2 | PBE | relaxed

Computed properties:
V: 113.1 Å³ per cell
Raw total energy: -0.3320 Ry/atom
Energy relative to the elements, uncorrected: 7.64 kcal/mol of atoms
D(E_F): 4.0 states/eV/cell

Cell lengths 4.7652, 4.7652, 4.9826 Å; angles 90.00, 90.00, 90.00 degrees
With the nearest neighbours (Å) after each atom.
Space group P4/mmm (No. 123)
Symmetry-distinct sites (fractional):
Mg  0.0000  0.0000  0.0000 [1 per cell]  4 Te 3.37, 8 Pd 3.45
V  0.5000  0.5000  0.5000 [1 per cell]  4 Pd 2.38, 2 Te 2.49
Te  0.5000  0.5000  0.0000 [1 per cell]  2 V 2.49
Pd  0.0000  0.5000  0.5000 [2 per cell]  2 V 2.38


(4)
AlNi | PBE | relaxed

Computed properties:
V: 367.3 Å³ per cell
Raw total energy: -0.3271 Ry/atom
D(E_F): 9.9 states/eV/cell
Energy of formation from the pure elements: 30.07 kJ/mol of atoms

Cell lengths 7.1615, 7.1615, 7.1615 Å; angles 90.00, 90.00, 90.00 degrees
With the nearest neighbours (Å) after each atom.
Space group I-43m (No. 217)
Symmetry-distinct sites (fractional):
Al  0.1994  0.1994  0.1994 [8 per cell]  4 Ni 2.26-2.42
Ni  0.1180  0.1180  0.8820 [8 per cell]  4 Al 2.26-2.42, 3 Ni 2.39


(5)
Li3Er2ThS6 | PBE | relaxed

Computed properties:
V: 491.7 Å³ per cell
Raw total energy: -0.4183 Ry/atom
Energy relative to the elements, uncorrected: -40.83 kcal/mol of atoms
D(E_F): 7.5 states/eV/cell

Cell lengths 6.7620, 11.7216, 6.5985 Å; angles 90.00, 109.93, 90.00 degrees
With the nearest neighbours (Å) after each atom.
Space group C2/m (No. 12)
Symmetry-distinct sites (fractional):
Li  0.0000  0.0000  0.0000 [2 per cell]  6 S 2.67-2.74
Li  0.0000  0.3297  0.0000 [4 per cell]  6 S 2.65-2.77
Er  0.0000  0.1663  0.5000 [4 per cell]  6 S 2.74
Th  0.0000  0.5000  0.5000 [2 per cell]  6 S 2.79-2.80
S  0.2450  0.0000  0.7565 [4 per cell]  3 Li 2.67-2.77, 2 Er 2.74, 1 Th 2.80
S  0.2452  0.1703  0.2451 [8 per cell]  3 Li 2.65-2.74, 2 Er 2.74, 1 Th 2.79


(6)
Fe2CoHg | PBE | relaxed

Computed properties:
V: 110.4 Å³ per cell
Raw total energy: -0.4241 Ry/atom
D(E_F): 4.5 states/eV/cell
Energy of formation from the pure elements: 30.25 kJ/mol of atoms

Cell lengths 3.7862, 3.7862, 7.7001 Å; angles 90.00, 90.00, 90.00 degrees
With the nearest neighbours (Å) after each atom.
Space group I4/mmm (No. 139)
Symmetry-distinct sites (fractional):
Fe  0.0000  0.5000  0.2500 [4 per cell]  4 Fe 2.68, 4 Hg 2.70, 4 Co 2.70
Co  0.0000  0.0000  0.0000 [2 per cell]  4 Hg 2.68, 8 Fe 2.70
Hg  0.0000  0.0000  0.5000 [2 per cell]  4 Co 2.68, 8 Fe 2.70


(7)
TePdNF2 | PBE | relaxed

Computed properties:
V: 81.0 Å³ per cell
Raw total energy: -0.2974 Ry/atom
Energy relative to the elements, uncorrected: 0.79 kcal/mol of atoms
D(E_F): 2.5 states/eV/cell
ΔE to the lowest computed polymorph: 0.0 meV/atom

Cell lengths 4.4220, 4.4220, 4.1437 Å; angles 90.00, 90.00, 90.00 degrees
With the nearest neighbours (Å) after each atom.
Space group P4/mmm (No. 123)
Symmetry-distinct sites (fractional):
Te  0.0000  0.0000  0.0000 [1 per cell]  2 N 2.07, 4 F 2.21
Pd  0.5000  0.5000  0.5000 [1 per cell]  8 F 3.03, 4 N 3.13
N  0.0000  0.0000  0.5000 [1 per cell]  2 Te 2.07
F  0.0000  0.5000  0.0000 [2 per cell]  2 Te 2.21


(8)
ZnCr2Cl | PBE | relaxed

Computed properties:
V: 287.1 Å³ per cell
Raw total energy: -0.3639 Ry/atom
Energy relative to the elements, uncorrected: 14.78 kcal/mol of atoms
D(E_F): 9.4 states/eV/cell
ΔE to the lowest computed polymorph: 528.0 meV/atom

Cell lengths 6.5968, 6.5968, 6.5968 Å; angles 90.00, 90.00, 90.00 degrees
With the nearest neighbours (Å) after each atom.
Space group Fm-3m (No. 225)
Symmetry-distinct sites (fractional):
Zn  0.0000  0.0000  0.0000 [4 per cell]  8 Cr 2.86
Cr  0.2500  0.2500  0.2500 [8 per cell]  4 Cl 2.86, 4 Zn 2.86
Cl  0.0000  0.0000  0.5000 [4 per cell]  8 Cr 2.86